Entry 1:
Nd2Ho6Tm3 | PBE | relaxed

## Properties
N(E_F) = 18.05 states/eV/cell
DFT total energy = -0.323 Ry per atom
calculated density = 8087 kg/m³
excess energy over the best structure of this formula in the dataset = 0.0 meV per atom
crystal system = monoclinic
calculated volume = 33.319 Å³ per atom
energy of formation = 184 meV/atom

Cell and atoms, written as CIF:
```
data_Nd2Ho6Tm3
_cell_length_a 6.0714
_cell_length_b 6.0774
_cell_length_c 11.6460
_cell_angle_alpha 84.97
_cell_angle_beta 79.90
_cell_angle_gamma 60.03
_space_group_name_H-M_alt 'P 1'
_space_group_IT_number 1
_space_group_name_Hall 'P 1'
loop_
_atom_site_label
_atom_site_type_symbol
_atom_site_fract_x
_atom_site_fract_y
_atom_site_fract_z
Tm1 Tm 0.0000 0.0000 0.0000
Ho1 Ho 0.9182 0.6664 0.2454
Ho2 Ho 0.5846 0.3336 0.2454
Ho3 Ho 0.2509 0.0000 0.2456
Ho4 Ho 0.0818 0.3336 0.7546
Tm2 Tm 0.3346 0.3308 0.0000
Nd1 Nd 0.8334 0.3333 0.5000
Tm3 Tm 0.6654 0.6692 0.0000
Nd2 Nd 0.1666 0.6667 0.5000
Ho5 Ho 0.7491 0.0000 0.7544
Ho6 Ho 0.4154 0.6664 0.7546
```

Entry 2:
ZrTa2Al | PBE | relaxed

## Properties
N(E_F) = 3.56 states/eV/cell
DFT total energy = -0.663 Ry per atom
calculated density = 10624 kg/m³
crystal system = orthorhombic
calculated volume = 18.760 Å³ per atom
energy of formation = -24 meV/atom

Cell and atoms, written as CIF:
```
data_ZrTa2Al
_cell_length_a 3.1808
_cell_length_b 3.7782
_cell_length_c 6.2443
_cell_angle_alpha 90.00
_cell_angle_beta 90.00
_cell_angle_gamma 90.00
_space_group_name_H-M_alt 'P 1'
_space_group_IT_number 1
_space_group_name_Hall 'P 1'
loop_
_atom_site_label
_atom_site_type_symbol
_atom_site_fract_x
_atom_site_fract_y
_atom_site_fract_z
Zr1 Zr 0.5000 0.5000 0.2500
Al1 Al 0.5000 0.5000 0.7500
Ta1 Ta 0.0000 0.0000 0.5257
Ta2 Ta 0.0000 0.0000 0.9743
```

Entry 3:
Tl2VHSe4 | PBE | relaxed

## Properties
DFT total energy = -0.316 Ry per atom
calculated density = 5397 kg/m³
crystal system = triclinic
calculated volume = 29.868 Å³ per atom

Cell and atoms, written as CIF:
```
data_Tl2VHSe4
_cell_length_a 10.0840
_cell_length_b 6.3510
_cell_length_c 7.6727
_cell_angle_alpha 124.52
_cell_angle_beta 135.55
_cell_angle_gamma 84.61
_space_group_name_H-M_alt 'P 1'
_space_group_IT_number 1
_space_group_name_Hall 'P 1'
loop_
_atom_site_label
_atom_site_type_symbol
_atom_site_fract_x
_atom_site_fract_y
_atom_site_fract_z
Tl1 Tl 0.3672 0.2104 0.5291
Se1 Se 0.8014 0.6933 0.8408
Tl2 Tl 0.2423 0.9237 0.7380
Se2 Se 0.8033 0.4025 0.2503
Se3 Se 0.0725 0.2259 0.9520
Se4 Se 0.4452 0.7003 0.1286
H1 H 0.8776 0.4736 0.7996
V1 V 0.7775 0.7574 0.5356
```

Entry 4:
LiHgH | PBE | relaxed

## Properties
N(E_F) = 0.61 states/eV/cell
DFT total energy = -0.149 Ry per atom
calculated density = 7028 kg/m³
excess energy over the best structure of this formula in the dataset = 35.4 meV per atom
crystal system = tetragonal
calculated volume = 16.425 Å³ per atom

Cell and atoms, written as CIF:
```
data_LiHgH
_cell_length_a 3.6646
_cell_length_b 3.6646
_cell_length_c 7.3385
_cell_angle_alpha 90.00
_cell_angle_beta 90.00
_cell_angle_gamma 90.00
_space_group_name_H-M_alt 'P 1'
_space_group_IT_number 1
_space_group_name_Hall 'P 1'
loop_
_atom_site_label
_atom_site_type_symbol
_atom_site_fract_x
_atom_site_fract_y
_atom_site_fract_z
Li1 Li 0.7500 0.7500 0.9421
H1 H 0.2500 0.7500 0.0000
Hg1 Hg 0.7500 0.7500 0.3515
H2 H 0.7500 0.2500 0.0000
Hg2 Hg 0.2500 0.2500 0.6485
Li2 Li 0.2500 0.2500 0.0579
```

Entry 5:
DyAg2BiSe4 | PBE | relaxed

## Properties
N(E_F) = 0.02 states/eV/cell
DFT total energy = -0.310 Ry per atom
calculated density = 7528 kg/m³
crystal system = monoclinic
calculated volume = 24.899 Å³ per atom

Cell and atoms, written as CIF:
```
data_DyAg2BiSe4
_cell_length_a 4.1839
_cell_length_b 6.9832
_cell_length_c 7.2792
_cell_angle_alpha 69.49
_cell_angle_beta 90.00
_cell_angle_gamma 90.00
_space_group_name_H-M_alt 'P 1'
_space_group_IT_number 1
_space_group_name_Hall 'P 1'
loop_
_atom_site_label
_atom_site_type_symbol
_atom_site_fract_x
_atom_site_fract_y
_atom_site_fract_z
Dy1 Dy 0.0000 0.5000 0.5000
Ag1 Ag 0.5000 0.0000 0.5000
Se1 Se 0.5000 0.2513 0.7451
Se2 Se 0.5000 0.7487 0.2549
Ag2 Ag 0.0000 0.0000 0.0000
Se3 Se 0.0000 0.7573 0.7408
Bi1 Bi 0.5000 0.5000 0.0000
Se4 Se 0.0000 0.2427 0.2592
```

Entry 6:
CeY3Mg4 | PBE | relaxed

## Properties
N(E_F) = 12.17 states/eV/cell
DFT total energy = -0.296 Ry per atom
calculated density = 3794 kg/m³
crystal system = orthorhombic
calculated volume = 27.574 Å³ per atom
energy of formation = -60 meV/atom

Cell and atoms, written as CIF:
```
data_CeY3Mg4
_cell_length_a 3.7804
_cell_length_b 5.4057
_cell_length_c 10.7942
_cell_angle_alpha 90.00
_cell_angle_beta 90.00
_cell_angle_gamma 90.00
_space_group_name_H-M_alt 'P 1'
_space_group_IT_number 1
_space_group_name_Hall 'P 1'
loop_
_atom_site_label
_atom_site_type_symbol
_atom_site_fract_x
_atom_site_fract_y
_atom_site_fract_z
Mg1 Mg 0.0000 0.0000 0.0000
Y1 Y 0.5000 0.5000 0.5000
Ce1 Ce 0.5000 0.5000 0.0000
Mg2 Mg 0.0000 0.0000 0.5000
Mg3 Mg 0.0000 0.5000 0.7457
Y2 Y 0.5000 0.0000 0.2488
Y3 Y 0.5000 0.0000 0.7512
Mg4 Mg 0.0000 0.5000 0.2543
```

Entry 7:
KSrTe2 | PBE | relaxed

## Properties
N(E_F) = 2.52 states/eV/cell
DFT total energy = -0.245 Ry per atom
calculated density = 4286 kg/m³
crystal system = monoclinic
calculated volume = 36.995 Å³ per atom

Cell and atoms, written as CIF:
```
data_KSrTe2
_cell_length_a 6.6949
_cell_length_b 6.6949
_cell_length_c 5.2294
_cell_angle_alpha 80.94
_cell_angle_beta 80.94
_cell_angle_gamma 39.82
_space_group_name_H-M_alt 'P 1'
_space_group_IT_number 1
_space_group_name_Hall 'P 1'
loop_
_atom_site_label
_atom_site_type_symbol
_atom_site_fract_x
_atom_site_fract_y
_atom_site_fract_z
Te1 Te 0.9821 0.9821 0.1338
K1 K 0.4967 0.4967 0.6152
Sr1 Sr 0.2583 0.2583 0.1335
Te2 Te 0.7629 0.7629 0.6175
```

Entry 8:
Ca2YRe | PBE | relaxed

## Properties
N(E_F) = 3.26 states/eV/cell
DFT total energy = -0.383 Ry per atom
calculated density = 4999 kg/m³
excess energy over the best structure of this formula in the dataset = 132.5 meV per atom
crystal system = monoclinic
calculated volume = 29.502 Å³ per atom
energy of formation = 519 meV/atom

Cell and atoms, written as CIF:
```
data_Ca2YRe
_cell_length_a 5.6111
_cell_length_b 5.6111
_cell_length_c 6.5115
_cell_angle_alpha 64.56
_cell_angle_beta 64.56
_cell_angle_gamma 40.35
_space_group_name_H-M_alt 'P 1'
_space_group_IT_number 1
_space_group_name_Hall 'P 1'
loop_
_atom_site_label
_atom_site_type_symbol
_atom_site_fract_x
_atom_site_fract_y
_atom_site_fract_z
Y1 Y 0.1938 0.1938 0.3619
Re1 Re 0.4914 0.4914 0.3753
Ca1 Ca 0.0039 0.0039 0.0326
Ca2 Ca 0.8109 0.8109 0.7301
```